# 1
## BaBe2Te (meta-GGA SCAN)

Data for a PBEsol-optimized structure of BaBe2Te.

Structure (extended XYZ):
```
4
Lattice="4.476 0.000 0.000 0.000 4.587 0.000 0.000 0.000 5.076" Properties=species:S:1:pos:R:3 pbc="T T T"
Ba 2.238 2.293 2.538
Be 3.321 0.000 0.000
Be 1.155 0.000 0.000
Te 0.000 2.293 0.000
```

Output
Raw formation energy (eV/atom): -0.0849
SG: No. 47
Calculated density (Mg/m³): 4.5

# 2
## Mg2BeCr (meta-GGA SCAN)

Data for a PBEsol-optimized structure of Mg2BeCr.

Structure (extended XYZ):
```
4
Lattice="4.459 0.000 0.000 -2.229 3.849 -0.147 0.000 -2.440 3.732" Properties=species:S:1:pos:R:3 pbc="T T T"
Mg 2.229 1.314 0.859
Mg 0.000 0.000 0.000
Cr 0.000 0.095 2.725
Be 2.229 -1.220 1.866
```

Output
Energy of formation (eV/atom): 0.222
SG: No. 119
Calculated density (Mg/m³): 2.9

# 3
## ZnGeAsSe2 (meta-GGA SCAN)

Data for a PBEsol-optimized structure of ZnGeAsSe2.

Structure (extended XYZ):
```
5
Lattice="-1.747 -4.339 0.113 1.681 -0.559 4.527 -4.185 1.731 1.768" Properties=species:S:1:pos:R:3 pbc="T T T"
As -0.873 -2.170 0.057
Zn 0.000 0.000 0.000
Se -2.093 0.865 0.884
Se 0.841 -0.279 2.264
Ge -2.125 -1.584 3.204
```

Output
Raw formation energy (eV/atom): 0.5869
SG: No. 123
Calculated density (Mg/m³): 5.6

# 4
## TbMgZn2 (meta-GGA SCAN)

Data for a PBEsol-optimized structure of TbMgZn2.

Structure (extended XYZ):
```
4
Lattice="-4.464 1.642 0.232 -3.641 -2.824 -1.203 -2.963 -1.624 3.356" Properties=species:S:1:pos:R:3 pbc="T T T"
Zn -8.301 -2.105 1.789
Zn -2.767 -0.702 0.596
Tb 0.000 0.000 0.000
Mg -5.534 -1.403 1.193
```

Output
Energy of formation (eV/atom): -0.418
SG: No. 225
Calculated density (Mg/m³): 6.8

# 5
## TaINO2 (meta-GGA SCAN)

Data for a PBEsol-optimized structure of TaINO2.

Structure (extended XYZ):
```
5
Lattice="-0.683 3.727 -0.290 -3.153 -0.733 -1.992 -3.090 -0.181 4.958" Properties=species:S:1:pos:R:3 pbc="T T T"
I -1.545 -0.090 2.479
N -3.463 1.407 1.338
O -1.576 -0.367 -0.996
O -0.342 1.864 -0.145
Ta 0.000 0.000 0.000
```

Output
Raw formation energy (eV/atom): -0.5362
SG: No. 123
Calculated density (Mg/m³): 7.0

# 6
## MgTi2 (meta-GGA SCAN)

Data for a PBEsol-optimized structure of MgTi2.

Structure (extended XYZ):
```
6
Lattice="-0.770 1.804 2.064 3.351 -3.698 2.517 4.583 5.050 -2.705" Properties=species:S:1:pos:R:3 pbc="T T T"
Ti 4.094 4.020 -1.987
Ti 3.070 -0.864 3.863
Ti 5.794 2.683 -0.184
Ti 1.370 0.473 2.061
Mg 2.772 2.769 0.577
Mg 4.393 0.386 1.300
```

Output
Energy of formation (eV/atom): 0.067
SG: No. 12
Calculated density (Mg/m³): 3.7